# 1
Tl5C: relaxed, PBE.

For the polymorph energy (0 for the lowest one), the calculation gives 303 kJ/mol of formula units. Its total energy is -2.29 eV per atom. The energy of formation from the pure elements is 117.5 kJ/mol of atoms. For the mass density, the calculation gives 8.50 Mg/m³.

Cell lengths 6.2389, 6.2389, 5.9914 Å; angles 90.00, 90.00, 120.00 degrees
Last column: nearest neighbours and their distance in Å.
Space group P6/mmm (No. 191)
Inequivalent atoms, fractional coordinates:
Tl 0.0000 0.5000 0.0000 x3  4 Tl 3.12
Tl 0.3333 0.6667 0.5000 x2  9 Tl 3.50-3.60, 3 C 3.60
C 0.0000 0.0000 0.5000 x1  6 Tl 3.60



# 2
V3Cu: relaxed, PBE.

Its total energy is -7.72 eV per atom. The energy of formation from the pure elements is 13.7 kJ/mol of atoms. For the mass density, the calculation gives 6.84 Mg/m³.

Cell lengths 2.4069, 8.8465, 4.9372 Å; angles 90.00, 90.00, 90.00 degrees
Last column: nearest neighbours and their distance in Å.
Space group Imm2 (No. 44)
Inequivalent atoms, fractional coordinates:
V 0.0000 0.0000 0.0000 x2  4 V 2.41-2.64
V 0.0000 0.2480 0.7041 x4  3 V 2.41-2.64, 1 Cu 2.66
Cu 0.0000 0.5000 0.9975 x2  2 Cu 2.41, 2 V 2.66



# 3
Pa2CuGe3Rh4: relaxed, PBE.

Its total energy is -7.30 eV per atom. The energy of formation from the pure elements is -63.9 kJ/mol of atoms. For the mass density, the calculation gives 10.92 Mg/m³.

Cell lengths 4.0687, 4.0687, 10.6099 Å; angles 90.00, 90.00, 90.00 degrees
Last column: nearest neighbours and their distance in Å.
Space group P-4m2 (No. 115)
Inequivalent atoms, fractional coordinates:
Pa 0.0000 0.5000 0.2424 x2  8 Rh 3.06-3.41, 6 Ge 3.18-3.28, 2 Cu 3.28
Cu 0.5000 0.5000 0.0000 x1  4 Rh 2.54
Ge 0.0000 0.0000 0.0000 x1  4 Rh 2.54
Ge 0.0000 0.5000 0.6304 x2  5 Rh 2.40-2.46
Rh 0.0000 0.0000 0.5000 x1  4 Ge 2.46
Rh 0.0000 0.5000 0.8569 x2  3 Ge 2.40-2.54, 2 Cu 2.54
Rh 0.5000 0.5000 0.5000 x1  4 Ge 2.46



# 4
Pm3Ho: relaxed, PBE.

For the polymorph energy (0 for the lowest one), the calculation gives 0 kJ/mol of formula units. Its total energy is -4.71 eV per atom. The energy of formation from the pure elements is 0.0 kJ/mol of atoms. For the mass density, the calculation gives 7.45 Mg/m³.

Cell lengths 6.2921, 11.7057, 7.2643 Å; angles 90.00, 90.00, 90.00 degrees
Last column: nearest neighbours and their distance in Å.
Space group Pnma (No. 62)
Inequivalent atoms, fractional coordinates:
Pm 0.0835 0.2500 0.1247 x4  8 Pm 3.59-3.64, 4 Ho 3.62-3.65
Pm 0.2489 0.5009 0.3756 x8  3 Ho 3.59-3.61, 9 Pm 3.59-3.64
Ho 0.0834 0.2500 0.6266 x4  10 Pm 3.59-3.65, 2 Ho 3.62



# 5
Mn3Se3I: relaxed, PBE.

Its total energy is -6.01 eV per atom. For the mass density, the calculation gives 5.45 Mg/m³.

Cell lengths 10.8815, 10.8815, 10.8815 Å; angles 90.00, 90.00, 90.00 degrees
Last column: nearest neighbours and their distance in Å.
Space group I-43m (No. 217)
Inequivalent atoms, fractional coordinates:
Mn 0.1160 0.3750 0.6250 x24  5 Se 2.56-2.72, 1 I 2.82
Se 0.1197 0.3746 0.3746 x24  5 Mn 2.56-2.72
I 0.1251 0.1251 0.1251 x8  3 Mn 2.82



# 6
CaNdDy4: relaxed, PBE.

For the polymorph energy (0 for the lowest one), the calculation gives 0 kJ/mol of formula units. Its total energy is -4.13 eV per atom. The energy of formation from the pure elements is 6.5 kJ/mol of atoms. For the mass density, the calculation gives 6.93 Mg/m³.

Cell lengths 11.9921, 3.6003, 10.2435 Å; angles 90.00, 115.27, 90.00 degrees
Last column: nearest neighbours and their distance in Å.
Space group C2/m (No. 12)
Inequivalent atoms, fractional coordinates:
Ca 0.0000 0.0000 0.0000 x2  10 Dy 3.59-3.69, 2 Ca 3.60
Nd 0.0000 0.0000 0.5000 x2  10 Dy 3.57-3.60, 2 Nd 3.60
Dy 0.1681 0.5000 0.3411 x4  7 Dy 3.50-3.66, 3 Nd 3.57-3.60, 2 Ca 3.67
Dy 0.1693 0.5000 0.8263 x4  2 Nd 3.57, 7 Dy 3.58-3.71, 3 Ca 3.59-3.69



# 7
YPC: relaxed, PBE.

For the polymorph energy (0 for the lowest one), the calculation gives 20 kJ/mol of formula units. Its total energy is -7.47 eV per atom. The energy of formation from the pure elements is -41.7 kJ/mol of atoms. For the mass density, the calculation gives 4.66 Mg/m³.

Cell lengths 3.5618, 3.4497, 7.7320 Å; angles 90.00, 98.64, 90.00 degrees
Last column: nearest neighbours and their distance in Å.
Space group Pm (No. 6)
Inequivalent atoms, fractional coordinates:
Y 0.0000 0.0000 0.0000 x1  6 C 2.64-2.74, 4 P 2.89-2.91
Y 0.1901 0.0000 0.6034 x1  6 C 2.64-2.75, 4 P 2.89-2.93
P 0.1619 0.5000 0.3015 x1  2 P 2.32
P 0.5982 0.0000 0.3008 x1  2 P 2.32
C 0.4786 0.5000 0.8635 x1  1 C 1.36
C 0.7116 0.5000 0.7399 x1  1 C 1.36



# 8
Sr3Er3MgSe8: relaxed, PBE.

Its total energy is -5.04 eV per atom. For the mass density, the calculation gives 5.62 Mg/m³.

Cell lengths 8.2615, 8.2615, 21.3114 Å; angles 90.00, 90.00, 120.00 degrees
Last column: nearest neighbours and their distance in Å.
Space group R-3m (No. 166, hexagonal axes)
Inequivalent atoms, fractional coordinates:
Sr 0.0000 0.5000 0.0000 x9  6 Se 3.07-3.10
Er 0.0000 0.5000 0.5000 x9  6 Se 2.86-2.88
Mg 0.0000 0.0000 0.5000 x3  6 Se 2.83
Se 0.0000 0.0000 0.2425 x6  3 Er 2.88, 3 Sr 3.07
Se 0.0036 0.5018 0.2399 x18  1 Mg 2.83, 2 Er 2.86, 2 Sr 3.10



# 9
La8Ge2Ir: relaxed, PBE.

For the polymorph energy (0 for the lowest one), the calculation gives 0 kJ/mol of formula units. Its total energy is -5.70 eV per atom. The energy of formation from the pure elements is -45.3 kJ/mol of atoms. For the mass density, the calculation gives 7.05 Mg/m³.

Cell lengths 18.9044, 4.6808, 7.8248 Å; angles 90.00, 99.56, 90.00 degrees
Last column: nearest neighbours and their distance in Å.
Space group C2/m (No. 12)
Inequivalent atoms, fractional coordinates:
La 0.0091 0.0000 0.2803 x4  2 Ir 2.93
La 0.0956 0.5000 0.9955 x4  2 Ge 3.30, 6 La 3.55-3.63
La 0.1539 0.5000 0.5086 x4  1 Ir 2.90, 2 Ge 3.21
La 0.2150 0.0000 0.8513 x4  3 Ge 3.22-3.25, 7 La 3.41-3.60
Ge 0.1814 0.0000 0.2457 x4  9 La 3.21-3.38
Ir 0.0000 0.5000 0.5000 x2  6 La 2.90-2.93



# 10
Pm2InPd8: relaxed, PBE.

Its total energy is -5.43 eV per atom. The energy of formation from the pure elements is -52.5 kJ/mol of atoms. For the mass density, the calculation gives 9.99 Mg/m³.

Cell lengths 15.7032, 4.7010, 6.1433 Å; angles 90.00, 112.96, 90.00 degrees
Last column: nearest neighbours and their distance in Å.
Space group C2/m (No. 12)
Inequivalent atoms, fractional coordinates:
Pm 0.1893 0.0000 0.1890 x4  12 Pd 2.85-3.12
In 0.0000 0.5000 0.5000 x2  8 Pd 2.60-2.83
Pd 0.0001 0.0000 0.2431 x4  2 In 2.83, 8 Pd 2.99-3.16, 2 Pm 3.12
Pd 0.1393 0.5000 0.9061 x4  1 In 2.60, 2 Pm 2.85, 1 Pd 2.87
Pd 0.1398 0.5000 0.3736 x4  1 In 2.60, 2 Pm 2.85, 1 Pd 2.87
Pd 0.1756 0.0000 0.6758 x4  8 Pd 2.91-3.04, 4 Pm 3.06-3.08



# 11
ScTc2Sb: relaxed, PBE.

Its total energy is -7.58 eV per atom. For the mass density, the calculation gives 8.33 Mg/m³.

Cell lengths 3.1623, 3.1623, 25.0500 Å; angles 90.00, 90.00, 120.00 degrees
Last column: nearest neighbours and their distance in Å.
Space group R-3m (No. 166, hexagonal axes)
Inequivalent atoms, fractional coordinates:
Sc 0.0000 0.0000 0.0000 x3  6 Tc 2.83, 6 Sc 3.16
Tc 0.0000 0.0000 0.2469 x6  3 Sb 2.72, 3 Sc 2.83
Sb 0.0000 0.0000 0.5000 x3  6 Tc 2.72



# 12
Pr3Ag2Pd3: relaxed, PBE.

Its total energy is -4.96 eV per atom. The energy of formation from the pure elements is -49.4 kJ/mol of atoms. For the mass density, the calculation gives 8.35 Mg/m³.

Cell lengths 8.7017, 8.7017, 5.8069 Å; angles 90.00, 90.00, 120.00 degrees
Last column: nearest neighbours and their distance in Å.
Space group P6_3/mcm (No. 193)
Inequivalent atoms, fractional coordinates:
Pr 0.0000 0.2810 0.2500 x6  5 Pd 2.91-3.04
Ag 0.3333 0.6667 0.0000 x4  2 Ag 2.90, 6 Pd 3.07
Pd 0.0000 0.3846 0.7500 x6  5 Pr 2.91-3.04, 4 Ag 3.07



# 13
TbPm: relaxed, PBE.

For the polymorph energy (0 for the lowest one), the calculation gives 0 kJ/mol of formula units. Its total energy is -4.68 eV per atom. The energy of formation from the pure elements is 1.4 kJ/mol of atoms. For the mass density, the calculation gives 7.62 Mg/m³.

Cell lengths 3.6037, 5.0966, 7.2156 Å; angles 90.00, 90.00, 90.00 degrees
Last column: nearest neighbours and their distance in Å.
Space group Pmmn (No. 59, origin choice 2)
Inequivalent atoms, fractional coordinates:
Tb 0.2500 0.2500 0.1228 x2  6 Pm 3.58-3.64, 6 Tb 3.59-3.60
Pm 0.2500 0.2500 0.6269 x2  6 Tb 3.58-3.64, 6 Pm 3.60-3.62



# 14
La4UO10: relaxed, PBE.

Its total energy is -8.50 eV per atom. For the mass density, the calculation gives 7.08 Mg/m³.

Cell lengths 8.9173, 8.9173, 5.6267 Å; angles 90.00, 90.00, 90.00 degrees
Last column: nearest neighbours and their distance in Å.
Space group I4/m (No. 87)
Inequivalent atoms, fractional coordinates:
La 0.0991 0.3002 0.0000 x8  8 O 2.44-2.53
U 0.0000 0.0000 0.5000 x2  8 O 2.24
O 0.0000 0.5000 0.2500 x4  4 La 2.44
O 0.0938 0.8177 0.2709 x16  1 U 2.24, 1 La 2.50



# 15
Tb3NdHg4: relaxed, PBE.

For the polymorph energy (0 for the lowest one), the calculation gives 137 kJ/mol of formula units. Its total energy is -2.78 eV per atom. The energy of formation from the pure elements is -28.7 kJ/mol of atoms. For the mass density, the calculation gives 10.69 Mg/m³.

Cell lengths 14.5718, 5.3282, 6.0117 Å; angles 90.00, 108.75, 90.00 degrees
Last column: nearest neighbours and their distance in Å.
Space group C2/m (No. 12)
Inequivalent atoms, fractional coordinates:
Tb 0.0000 0.0000 0.0000 x2  4 Hg 3.10
Tb 0.1724 0.0000 0.5822 x4  5 Hg 3.05-3.33
Nd 0.0000 0.5000 0.5000 x2  4 Hg 3.13-3.49
Hg 0.1124 0.5000 0.1361 x4  3 Tb 3.05-3.10, 4 Hg 3.05-3.35, 1 Nd 3.13
Hg 0.2452 0.5000 0.8337 x4  5 Hg 3.05-3.35, 4 Tb 3.08-3.33



# 16
KPu2GaBr8: relaxed, PBE.

Its total energy is -5.23 eV per atom. For the mass density, the calculation gives 4.43 Mg/m³.

Cell lengths 7.0666, 8.8800, 7.4005 Å; angles 90.00, 93.03, 90.00 degrees
Last column: nearest neighbours and their distance in Å.
Space group P2/m (No. 10)
Inequivalent atoms, fractional coordinates:
K 0.0000 0.0000 0.0000 x1  6 Br 3.22-3.44
Pu 0.5000 0.2531 0.5000 x2  6 Br 2.83-2.93
Ga 0.0000 0.5000 0.0000 x1  6 Br 3.06-3.38
Br 0.2608 0.2629 0.1815 x4  1 Pu 2.83, 1 Ga 3.06
Br 0.2788 0.5000 0.6426 x2  2 Pu 2.92
Br 0.2820 0.0000 0.6356 x2  2 Pu 2.93



# 17
NaEu2Pb: relaxed, PBE.

Its total energy is -6.66 eV per atom. The energy of formation from the pure elements is -25.8 kJ/mol of atoms. For the mass density, the calculation gives 6.14 Mg/m³.

Cell lengths 3.9702, 3.9702, 9.1684 Å; angles 90.00, 90.00, 90.00 degrees
Last column: nearest neighbours and their distance in Å.
Space group P4/mmm (No. 123)
Inequivalent atoms, fractional coordinates:
Na 0.0000 0.0000 0.0000 x1  8 Eu 3.82, 4 Na 3.97
Eu 0.5000 0.5000 0.2828 x2  4 Pb 3.44, 4 Na 3.82
Pb 0.0000 0.0000 0.5000 x1  8 Eu 3.44



# 18
LiAlCo3: relaxed, PBE.

For the polymorph energy (0 for the lowest one), the calculation gives 0 kJ/mol of formula units. Its total energy is -4.70 eV per atom. The energy of formation from the pure elements is 67.5 kJ/mol of atoms. For the mass density, the calculation gives 5.93 Mg/m³.

Cell lengths 3.8937, 3.8937, 3.8937 Å; angles 90.00, 90.00, 90.00 degrees
Last column: nearest neighbours and their distance in Å.
Space group Pm-3m (No. 221)
Inequivalent atoms, fractional coordinates:
Li 0.0000 0.0000 0.0000 x1  6 Co 1.95
Al 0.5000 0.5000 0.5000 x1  12 Co 2.75
Co 0.0000 0.0000 0.5000 x3  2 Li 1.95



# 19
KNa4Sr3: relaxed, PBE.

Its total energy is -1.40 eV per atom. The energy of formation from the pure elements is 2.5 kJ/mol of atoms. For the mass density, the calculation gives 1.72 Mg/m³.

Cell lengths 4.4874, 4.4874, 18.8759 Å; angles 90.00, 90.00, 90.00 degrees
Last column: nearest neighbours and their distance in Å.
Space group P4/mmm (No. 123)
Inequivalent atoms, fractional coordinates:
K 0.0000 0.0000 0.0000 x1  8 Na 4.10, 4 K 4.49
Na 0.5000 0.5000 0.1373 x2  4 Sr 3.94, 4 K 4.10
Na 0.5000 0.5000 0.3803 x2  8 Sr 3.89-3.90
Sr 0.0000 0.0000 0.2613 x2  8 Na 3.89-3.94
Sr 0.0000 0.0000 0.5000 x1  8 Na 3.90



# 20
CaPt3: relaxed, PBE.

Its total energy is -5.50 eV per atom. The energy of formation from the pure elements is -45.7 kJ/mol of atoms. For the mass density, the calculation gives 14.93 Mg/m³.

Cell lengths 2.9347, 4.8079, 4.9304 Å; angles 90.00, 90.00, 90.00 degrees
Last column: nearest neighbours and their distance in Å.
Space group Pmm2 (No. 25)
Inequivalent atoms, fractional coordinates:
Ca 0.0000 0.0000 0.0000 x1  10 Pt 2.83-3.13, 2 Ca 2.93
Pt 0.0000 0.5000 0.4060 x1  10 Pt 2.78-2.96
Pt 0.5000 0.0000 0.4918 x1  4 Ca 2.83-2.90, 8 Pt 2.85-3.09
Pt 0.5000 0.5000 0.8850 x1  8 Pt 2.78-3.09, 4 Ca 2.87



# 21
KTcP2Cl: relaxed, PBE.

For the polymorph energy (0 for the lowest one), the calculation gives 0 kJ/mol of formula units. Its total energy is -5.12 eV per atom. For the mass density, the calculation gives 3.33 Mg/m³.

Cell lengths 4.5538, 4.5538, 5.6362 Å; angles 90.00, 90.00, 90.00 degrees
Last column: nearest neighbours and their distance in Å.
Space group P4/mmm (No. 123)
Inequivalent atoms, fractional coordinates:
K 0.0000 0.0000 0.0000 x1  4 Cl 3.22
Tc 0.5000 0.5000 0.5000 x1  4 P 2.28
P 0.0000 0.5000 0.5000 x2  2 Tc 2.28
Cl 0.5000 0.5000 0.0000 x1  2 Tc 2.82



# 22
Cs4Tl4Si: relaxed, PBE.

Its total energy is -2.00 eV per atom. For the mass density, the calculation gives 4.83 Mg/m³.

Cell lengths 6.7095, 6.7095, 21.0373 Å; angles 90.00, 90.00, 90.00 degrees
Last column: nearest neighbours and their distance in Å.
Space group I-42m (No. 121)
Inequivalent atoms, fractional coordinates:
Cs 0.2419 0.2419 0.3531 x8  1 Si 3.85, 5 Tl 3.92-4.09
Tl 0.2263 0.2263 0.0435 x8  1 Si 2.75
Si 0.0000 0.0000 0.5000 x2  4 Tl 2.75



# 23
In2SF: relaxed, PBE.

For the polymorph energy (0 for the lowest one), the calculation gives 15 kJ/mol of formula units. Its total energy is -3.70 eV per atom. For the mass density, the calculation gives 3.81 Mg/m³.

Cell lengths 4.3766, 4.3766, 22.1233 Å; angles 90.00, 90.00, 120.00 degrees
Last column: nearest neighbours and their distance in Å.
Space group R-3m (No. 166, hexagonal axes)
Inequivalent atoms, fractional coordinates:
In 0.0000 0.0000 0.1009 x6  1 F 2.23
S 0.0000 0.0000 0.5000 x3  6 In 2.92
F 0.0000 0.0000 0.0000 x3  2 In 2.23